Run 1
{
  "formula": "Na6AgAu2",
  "functional": "PBE-GGA",
  "state": "relaxed",
  "lattice": [[0.722, -4.609, 2.792], [-0.001, -4.699, -7.757], [9.427, -0.770, 0.465]],
  "species": ["Au", "Au", "Au", "Au", "Ag", "Ag", "Na", "Na", "Na", "Na", "Na", "Na", "Na", "Na", "Na", "Na", "Na", "Na"],
  "frac_coords": [[0.431, 0.124, 0.267], [0.931, 0.376, 0.767], [0.569, 0.876, 0.733], [0.069, 0.624, 0.233], [0.500, 0.500, 0.000], [0.000, 0.000, 0.500], [0.020, 0.328, 0.438], [0.982, 0.334, 0.079], [0.461, 0.514, 0.696], [0.518, 0.834, 0.421], [0.980, 0.672, 0.562], [0.039, 0.014, 0.804], [0.480, 0.828, 0.062], [0.018, 0.666, 0.921], [0.539, 0.486, 0.304], [0.961, 0.986, 0.196], [0.520, 0.172, 0.938], [0.482, 0.166, 0.579]],
  "vol_a3_per_cell": 455
}



Run 2
{
  "formula": "Na6AgAu2",
  "functional": "PBE-GGA",
  "state": "relaxed",
  "lattice": [[-3.759, -7.687, 1.002], [8.437, -0.855, -1.523], [0.390, 5.371, 6.725]],
  "species": ["Na", "Na", "Na", "Na", "Na", "Na", "Na", "Na", "Na", "Na", "Na", "Na", "Ag", "Ag", "Au", "Au", "Au", "Au"],
  "frac_coords": [[0.096, 0.286, 0.809], [0.697, 0.029, 0.332], [0.192, 0.753, 0.945], [0.303, 0.971, 0.668], [0.808, 0.247, 0.055], [0.303, 0.635, 0.332], [0.808, 0.753, 0.561], [0.477, 0.286, 0.191], [0.697, 0.365, 0.668], [0.904, 0.714, 0.191], [0.523, 0.714, 0.809], [0.192, 0.247, 0.439], [0.000, 0.500, 0.500], [0.000, 0.000, 0.000], [0.669, 0.000, 0.669], [0.331, 0.000, 0.331], [0.500, 0.627, 0.127], [0.500, 0.373, 0.873]],
  "vol_a3_per_cell": 477
}



Which of them is most stable? Easy: run 2.



Run 1
{
  "formula": "RbNa2AgAu",
  "functional": "PBE-GGA",
  "state": "relaxed",
  "lattice": [[-0.359, 2.930, -4.766], [1.704, -4.492, -2.890], [-5.162, -1.582, -0.584]],
  "species": ["Ag", "Au", "Na", "Na", "Rb"],
  "frac_coords": [[0.000, 0.000, 0.000], [0.000, 0.000, 0.500], [0.000, 0.500, 0.000], [0.500, 0.000, 0.000], [0.500, 0.500, 0.500]],
  "vol_a3_per_cell": 171
}



Run 2
{
  "formula": "RbNa2AgAu",
  "functional": "PBE-GGA",
  "state": "relaxed",
  "lattice": [[-1.960, 5.106, -1.453], [-2.157, 0.649, 5.191], [4.663, 2.261, 1.654]],
  "species": ["Ag", "Na", "Na", "Au", "Rb"],
  "frac_coords": [[0.000, 0.000, 0.500], [0.000, 0.500, 0.000], [0.500, 0.000, 0.000], [0.000, 0.000, 0.000], [0.500, 0.500, 0.500]],
  "vol_a3_per_cell": 174
}



Which of them is most stable? Easy: run 2.



Run 1
{
  "formula": "NaAgSnAu",
  "functional": "PBE-GGA",
  "state": "relaxed",
  "lattice": [[-3.271, 0.018, -3.440], [3.923, -3.817, -0.475], [-1.292, -3.515, 1.210]],
  "species": ["Sn", "Na", "Au", "Ag"],
  "frac_coords": [[0.885, 0.770, 0.664], [0.614, 0.228, 0.435], [0.112, 0.225, 0.935], [0.343, 0.686, 0.205]],
  "vol_a3_per_cell": 85
}



Run 2
{
  "formula": "NaAgSnAu",
  "functional": "PBE-GGA",
  "state": "relaxed",
  "lattice": [[4.878, 0.000, 0.000], [2.439, 4.224, 0.000], [2.439, 1.408, 3.983]],
  "species": ["Sn", "Na", "Au", "Ag"],
  "frac_coords": [[0.250, 0.250, 0.250], [0.750, 0.750, 0.750], [0.500, 0.500, 0.500], [0.000, 0.000, 0.000]],
  "vol_a3_per_cell": 82
}



Which of them is most stable? Easy: run 2.



Run 1
{
  "formula": "NaZnAgAu",
  "functional": "PBE-GGA",
  "state": "relaxed",
  "lattice": [[-1.294, 2.873, -3.124], [-1.789, -3.331, -2.322], [-6.404, 0.969, 3.543]],
  "species": ["Na", "Na", "Ag", "Ag", "Au", "Au", "Zn", "Zn"],
  "frac_coords": [[0.750, 0.750, 0.251], [0.250, 0.250, 0.749], [0.250, 0.750, 0.500], [0.750, 0.250, 0.500], [0.250, 0.250, 0.220], [0.750, 0.750, 0.780], [0.750, 0.250, 0.000], [0.250, 0.750, 0.000]],
  "vol_a3_per_cell": 145
}



Run 2
{
  "formula": "NaZnAgAu",
  "functional": "PBE-GGA",
  "state": "relaxed",
  "lattice": [[4.697, 0.000, 0.000], [2.349, 4.068, 0.000], [2.349, 1.356, 3.835]],
  "species": ["Au", "Na", "Ag", "Zn"],
  "frac_coords": [[0.500, 0.500, 0.500], [0.000, 0.000, 0.000], [0.250, 0.250, 0.250], [0.750, 0.750, 0.750]],
  "vol_a3_per_cell": 73
}



Which of them is most stable? Easy: run 1.



Run 1
{
  "formula": "Nb3AgAu",
  "functional": "PBE-GGA",
  "state": "relaxed",
  "lattice": [[4.973, 0.000, 0.000], [0.000, 4.973, 0.000], [0.000, 0.000, 4.973]],
  "species": ["Au", "Nb", "Nb", "Nb", "Ag"],
  "frac_coords": [[0.000, 0.000, 0.000], [0.000, 0.000, 0.500], [0.500, 0.000, 0.000], [0.000, 0.500, 0.000], [0.500, 0.500, 0.500]],
  "vol_a3_per_cell": 123
}



Run 2
{
  "formula": "Nb3AgAu",
  "functional": "PBE-GGA",
  "state": "relaxed",
  "lattice": [[-4.881, -0.204, -0.313], [-0.034, -3.846, 3.029], [-0.372, 3.023, 3.833]],
  "species": ["Ag", "Nb", "Nb", "Nb", "Au"],
  "frac_coords": [[0.000, 0.000, 0.000], [0.000, 0.000, 0.500], [0.500, 0.000, 0.000], [0.000, 0.500, 0.000], [0.500, 0.500, 0.500]],
  "vol_a3_per_cell": 117
}



Which of them is most stable? Easy: run 1.



Run 1
{
  "formula": "NdAgAu4",
  "functional": "PBE-GGA",
  "state": "relaxed",
  "lattice": [[4.759, 0.000, 0.000], [-2.380, 4.121, 0.000], [0.000, 0.000, 6.446]],
  "species": ["Ag", "Au", "Au", "Au", "Au", "Nd"],
  "frac_coords": [[0.000, 0.000, 0.000], [0.333, 0.667, 0.229], [0.667, 0.333, 0.771], [0.667, 0.333, 0.229], [0.333, 0.667, 0.771], [0.000, 0.000, 0.500]],
  "vol_a3_per_cell": 126
}



Run 2
{
  "formula": "NdAgAu4",
  "functional": "PBE-GGA",
  "state": "relaxed",
  "lattice": [[5.375, 0.062, -1.160], [-0.614, 6.760, -2.481], [-0.747, -1.150, 7.578]],
  "species": ["Au", "Au", "Au", "Au", "Au", "Au", "Au", "Au", "Nd", "Nd", "Ag", "Ag"],
  "frac_coords": [[0.426, 0.080, 0.764], [0.000, 0.187, 0.000], [0.574, 0.315, 0.236], [0.737, 0.316, 0.632], [0.426, 0.685, 0.764], [0.574, 0.920, 0.236], [0.263, 0.684, 0.368], [0.000, 0.813, 0.000], [0.850, 0.788, 0.576], [0.150, 0.212, 0.424], [0.239, 0.467, 0.933], [0.761, 0.533, 0.067]],
  "vol_a3_per_cell": 254
}



Which of them is most stable? Easy: run 1.



Run 1
{
  "formula": "NdAgAu2",
  "functional": "PBE-GGA",
  "state": "relaxed",
  "lattice": [[4.999, 0.000, 0.000], [2.500, 4.329, 0.000], [2.500, 1.443, 4.082]],
  "species": ["Au", "Au", "Nd", "Ag"],
  "frac_coords": [[0.750, 0.750, 0.750], [0.250, 0.250, 0.250], [0.000, 0.000, 0.000], [0.500, 0.500, 0.500]],
  "vol_a3_per_cell": 88
}



Run 2
{
  "formula": "NdAgAu2",
  "functional": "PBE-GGA",
  "state": "relaxed",
  "lattice": [[3.977, 0.000, 0.000], [0.000, 4.725, 0.000], [0.000, 0.000, 4.725]],
  "species": ["Ag", "Au", "Au", "Nd"],
  "frac_coords": [[0.500, 0.000, 0.000], [0.000, 0.500, 0.000], [0.000, 0.000, 0.500], [0.500, 0.500, 0.500]],
  "vol_a3_per_cell": 89
}



Which of them is most stable? Easy: run 1.



Run 1
{
  "formula": "PrNdAgAu",
  "functional": "PBE-GGA",
  "state": "relaxed",
  "lattice": [[-3.621, -2.725, -2.744], [0.741, -5.155, -0.972], [-3.005, -3.615, 2.443]],
  "species": ["Nd", "Ag", "Au", "Pr"],
  "frac_coords": [[0.500, 0.500, 0.500], [0.250, 0.250, 0.250], [0.750, 0.750, 0.750], [0.000, 0.000, 0.000]],
  "vol_a3_per_cell": 105
}



Run 2
{
  "formula": "PrNdAgAu",
  "functional": "PBE-GGA",
  "state": "relaxed",
  "lattice": [[-1.469, 3.394, -1.345], [-3.585, -2.426, -2.207], [-2.460, -1.227, 5.346]],
  "species": ["Pr", "Nd", "Ag", "Au"],
  "frac_coords": [[0.860, 0.500, 0.721], [0.139, 0.000, 0.278], [0.420, 0.000, 0.839], [0.581, 0.500, 0.163]],
  "vol_a3_per_cell": 109
}



Which of them is most stable? Easy: run 2.



Run 1
{
  "formula": "NdScAgAu",
  "functional": "PBE-GGA",
  "state": "relaxed",
  "lattice": [[3.515, 0.000, 0.000], [0.000, 3.515, 0.000], [0.000, 0.000, 7.371]],
  "species": ["Au", "Ag", "Nd", "Sc"],
  "frac_coords": [[0.000, 0.000, 0.317], [0.000, 0.000, 0.894], [0.500, 0.500, 0.602], [0.500, 0.500, 0.114]],
  "vol_a3_per_cell": 91
}



Run 2
{
  "formula": "NdScAgAu",
  "functional": "PBE-GGA",
  "state": "relaxed",
  "lattice": [[-2.539, -4.284, 1.001], [-0.164, -1.805, 4.745], [-4.339, 0.176, 2.635]],
  "species": ["Sc", "Ag", "Nd", "Au"],
  "frac_coords": [[0.500, 0.500, 0.500], [0.750, 0.750, 0.750], [0.000, 0.000, 0.000], [0.250, 0.250, 0.250]],
  "vol_a3_per_cell": 93
}



Which of them is most stable? Easy: run 1.



Run 1
{
  "formula": "NdTmAgAu",
  "functional": "PBE-GGA",
  "state": "relaxed",
  "lattice": [[-4.954, 1.469, 0.128], [-2.705, -0.411, 4.386], [-1.369, 4.252, 2.601]],
  "species": ["Tm", "Ag", "Au", "Nd"],
  "frac_coords": [[0.500, 0.500, 0.500], [0.250, 0.250, 0.250], [0.750, 0.750, 0.750], [0.000, 0.000, 0.000]],
  "vol_a3_per_cell": 98
}



Run 2
{
  "formula": "NdTmAgAu",
  "functional": "PBE-GGA",
  "state": "relaxed",
  "lattice": [[3.604, 0.000, 0.000], [0.000, 3.604, 0.000], [0.000, 0.000, 7.475]],
  "species": ["Nd", "Au", "Ag", "Tm"],
  "frac_coords": [[0.000, 0.000, 0.862], [0.500, 0.500, 0.134], [0.500, 0.500, 0.582], [0.000, 0.000, 0.350]],
  "vol_a3_per_cell": 97
}



Which of them is most stable? Easy: run 2.



Run 1
{
  "formula": "AgAu3O",
  "functional": "PBE-GGA",
  "state": "relaxed",
  "lattice": [[-2.949, 4.001, -1.100], [-0.323, -1.567, -4.833], [-4.137, -2.730, 1.162]],
  "species": ["Ag", "O", "Au", "Au", "Au"],
  "frac_coords": [[0.000, 0.000, 0.000], [0.500, 0.500, 0.500], [0.500, 0.000, 0.000], [0.000, 0.000, 0.500], [0.000, 0.500, 0.000]],
  "vol_a3_per_cell": 132
}



Run 2
{
  "formula": "AgAu3O",
  "functional": "PBE-GGA",
  "state": "relaxed",
  "lattice": [[-3.705, 0.108, -2.564], [-1.964, -3.017, 2.711], [-1.651, 3.346, 2.528]],
  "species": ["Au", "Au", "Au", "O", "Ag"],
  "frac_coords": [[0.000, 0.500, 0.000], [0.000, 0.000, 0.500], [0.500, 0.000, 0.000], [0.000, 0.000, 0.000], [0.500, 0.500, 0.500]],
  "vol_a3_per_cell": 92
}



Which of them is most stable? Easy: run 2.



Run 1
{
  "formula": "AgPAuO2",
  "functional": "PBE-GGA",
  "state": "relaxed",
  "lattice": [[3.902, 0.000, 0.000], [0.000, 3.902, 0.000], [0.000, 0.000, 5.349]],
  "species": ["P", "Ag", "O", "O", "Au"],
  "frac_coords": [[0.000, 0.000, 0.500], [0.000, 0.000, 0.000], [0.500, 0.000, 0.000], [0.000, 0.500, 0.000], [0.500, 0.500, 0.500]],
  "vol_a3_per_cell": 81
}



Run 2
{
  "formula": "AgPAuO2",
  "functional": "PBE-GGA",
  "state": "relaxed",
  "lattice": [[3.954, 0.000, 0.000], [0.000, 3.954, 0.000], [0.000, 0.000, 5.277]],
  "species": ["P", "O", "O", "Ag", "Au"],
  "frac_coords": [[0.000, 0.000, 0.500], [0.000, 0.500, 0.000], [0.500, 0.000, 0.000], [0.500, 0.500, 0.500], [0.000, 0.000, 0.000]],
  "vol_a3_per_cell": 82
}



Which of them is most stable? Easy: run 2.



Run 1
{
  "formula": "AgOs2Au",
  "functional": "PBE-GGA",
  "state": "relaxed",
  "lattice": [[-5.476, 1.552, -1.306], [-4.584, -3.609, -0.245], [4.391, 2.597, 2.842]],
  "species": ["Os", "Os", "Ag", "Au"],
  "frac_coords": [[0.474, 0.474, 0.000], [0.026, 0.026, 0.000], [0.750, 0.250, 0.500], [0.250, 0.750, 0.500]],
  "vol_a3_per_cell": 66
}



Run 2
{
  "formula": "AgOs2Au",
  "functional": "PBE-GGA",
  "state": "relaxed",
  "lattice": [[2.817, 0.000, 0.000], [0.000, 2.817, 0.000], [0.000, 0.000, 8.173]],
  "species": ["Au", "Os", "Os", "Ag"],
  "frac_coords": [[0.500, 0.500, 0.761], [0.500, 0.500, 0.224], [0.000, 0.000, 0.025], [0.000, 0.000, 0.490]],
  "vol_a3_per_cell": 65
}



Which of them is most stable? Easy: run 2.